The following is a DFT calculation (GGA-PBE) of a geometry-optimized FeIrRh2 structure.

## Properties
- Total DFT energy (no corrections): -0.2950 Ha/atom
- DOS at the Fermi energy: 1.229 states/eV per atom
- Formation energy from the elements: -8 kJ/mol of formula units
- Symmetry: Pmm2 (25)

```
FeIrRh2
1.0
2.711 0.000 0.000
0.000 3.749 0.000
0.000 0.000 5.429
Fe Ir Rh
1 1 2
direct
0.000 0.000 0.000
0.500 0.500 0.244
0.000 0.000 0.497
0.500 0.500 0.755
```



The following is a DFT calculation (GGA-PBE) of a geometry-optimized Fe3Ir2Rh4 structure.

## Properties
- Total DFT energy (no corrections): -0.2969 Ha/atom
- DOS at the Fermi energy: 1.313 states/eV per atom
- Formation energy from the elements: -18 kJ/mol of formula units
- Symmetry: C2/m (12)

```
Fe3Ir2Rh4
1.0
6.886 -1.352 0.000
6.886 1.352 0.000
-4.439 0.000 6.571
Fe Ir Rh
3 2 4
direct
0.000 0.000 0.000
0.112 0.112 0.669
0.888 0.888 0.331
0.336 0.336 0.005
0.664 0.664 0.995
0.224 0.224 0.332
0.447 0.447 0.663
0.553 0.553 0.337
0.776 0.776 0.668
```



The following is a DFT calculation (GGA-PBE) of a geometry-optimized FeIrRh2 structure.

## Properties
- Total DFT energy (no corrections): -0.2949 Ha/atom
- DOS at the Fermi energy: 1.380 states/eV per atom
- Formation energy from the elements: -7 kJ/mol of formula units
- Symmetry: P4mm (99)

```
FeIrRh2
1.0
2.713 0.000 0.000
0.000 2.713 0.000
0.000 0.000 7.458
Fe Ir Rh
1 1 2
direct
0.000 0.000 0.000
0.500 0.500 0.240
0.000 0.000 0.498
0.500 0.500 0.760
```



The following is a DFT calculation (GGA-PBE) of a geometry-optimized Fe2IrRh structure.

## Properties
- Total DFT energy (no corrections): -0.3050 Ha/atom
- DOS at the Fermi energy: 1.200 states/eV per atom
- Formation energy from the elements: -6 kJ/mol of formula units
- Symmetry: Pmmm (47)

```
Fe2IrRh
1.0
2.682 0.000 0.000
0.000 3.625 0.000
0.000 0.000 5.379
Fe Ir Rh
2 1 1
direct
0.000 0.000 0.247
0.000 0.000 0.753
0.500 0.500 0.000
0.500 0.500 0.500
```



The following is a DFT calculation (GGA-PBE) of a geometry-optimized FeIr2Rh6 structure.

## Properties
- Offset from the most stable computed form: 0.0 kJ/mol of atoms
- Total DFT energy (no corrections): -0.2813 Ha/atom
- DOS at the Fermi energy: 1.621 states/eV per atom
- Formation energy from the elements: 135 kJ/mol of formula units
- Symmetry: C2/m (12)

```
FeIr2Rh6
1.0
3.864 -6.743 0.000
3.864 6.743 0.000
-0.921 0.000 2.521
Fe Ir Rh
1 2 6
direct
0.000 0.000 0.000
0.312 0.312 0.812
0.688 0.688 0.188
0.000 0.349 0.675
0.000 0.651 0.325
0.349 0.000 0.675
0.356 0.644 0.500
0.644 0.356 0.500
0.651 0.000 0.325
```



The following is a DFT calculation (GGA-PBE) of a geometry-optimized FeIrRh2 structure.

## Properties
- Total DFT energy (no corrections): -0.2935 Ha/atom
- DOS at the Fermi energy: 1.267 states/eV per atom
- Formation energy from the elements: 8 kJ/mol of formula units
- Symmetry: R-3m (166)

```
FeIrRh2
1.0
1.360 0.785 8.650
-1.360 0.785 8.650
0.000 -1.571 8.650
Fe Ir Rh
1 1 2
direct
0.000 0.000 0.000
0.500 0.500 0.500
0.252 0.252 0.252
0.748 0.748 0.748
```



The following is a DFT calculation (GGA-PBE) of a geometry-optimized Fe2IrRh structure.

## Properties
- Total DFT energy (no corrections): -0.3052 Ha/atom
- DOS at the Fermi energy: 1.170 states/eV per atom
- Formation energy from the elements: -8 kJ/mol of formula units
- Symmetry: I-4m2 (119)

```
Fe2IrRh
1.0
-1.857 1.857 3.808
1.857 -1.857 3.808
1.857 1.857 -3.808
Fe Ir Rh
2 1 1
direct
0.000 0.000 0.000
0.750 0.250 0.500
0.250 0.750 0.500
0.500 0.500 0.000
```



The following is a DFT calculation (GGA-PBE) of a geometry-optimized Fe2IrRh structure.

## Properties
- Total DFT energy (no corrections): -0.3052 Ha/atom
- DOS at the Fermi energy: 1.072 states/eV per atom
- Formation energy from the elements: -7 kJ/mol of formula units
- Symmetry: P4/mmm (123)

```
Fe2IrRh
1.0
3.785 0.000 0.000
0.000 3.785 0.000
0.000 0.000 3.640
Fe Ir Rh
2 1 1
direct
0.000 0.500 0.000
0.500 0.000 0.000
0.000 0.000 0.500
0.500 0.500 0.500
```



The following is a DFT calculation (GGA-PBE) of a geometry-optimized Fe2Ir5Rh5 structure.

## Properties
- Total DFT energy (no corrections): -0.3012 Ha/atom
- DOS at the Fermi energy: 1.306 states/eV per atom
- Formation energy from the elements: -34 kJ/mol of formula units
- Symmetry: P-1 (2)

```
Fe2Ir5Rh5
1.0
4.684 0.000 0.000
-2.341 4.064 0.000
-0.804 -1.310 8.833
Fe Ir Rh
2 5 5
direct
0.084 0.417 0.250
0.916 0.583 0.750
0.254 0.255 0.750
0.329 0.661 0.999
0.500 0.500 0.500
0.671 0.339 0.001
0.746 0.745 0.250
0.000 0.000 0.000
0.161 0.829 0.500
0.417 0.083 0.250
0.583 0.917 0.750
0.839 0.171 0.500
```



The following is a DFT calculation (GGA-PBE) of a geometry-optimized FeIrRh structure.

## Properties
- Offset from the most stable computed form: 0.0 kJ/mol of atoms
- Total DFT energy (no corrections): -0.3033 Ha/atom
- DOS at the Fermi energy: 1.180 states/eV per atom
- Formation energy from the elements: -8 kJ/mol of formula units
- Symmetry: P3m1 (156)

```
FeIrRh
1.0
2.701 0.000 0.000
-1.350 2.339 0.000
0.000 0.000 6.485
Fe Ir Rh
1 1 1
direct
0.000 0.000 0.000
0.667 0.333 0.321
0.333 0.667 0.676
```



The following is a DFT calculation (GGA-PBE) of a geometry-optimized Fe2IrRh structure.

## Properties
- Total DFT energy (no corrections): -0.3045 Ha/atom
- DOS at the Fermi energy: 0.965 states/eV per atom
- Formation energy from the elements: -1 kJ/mol of formula units
- Symmetry: P4/mmm (123)

```
Fe2IrRh
1.0
4.277 0.000 0.000
0.000 4.277 0.000
0.000 0.000 2.998
Fe Ir Rh
2 1 1
direct
0.000 0.500 0.000
0.500 0.000 0.000
0.000 0.000 0.500
0.500 0.500 0.500
```



The following is a DFT calculation (GGA-PBE) of a geometry-optimized Fe3IrRh12 structure.

## Properties
- Total DFT energy (no corrections): -0.2829 Ha/atom
- DOS at the Fermi energy: 1.107 states/eV per atom
- Formation energy from the elements: -67 kJ/mol of formula units
- Symmetry: P4/mmm (123)

```
Fe3IrRh12
1.0
3.819 0.000 0.000
0.000 3.819 0.000
0.000 0.000 15.224
Fe Ir Rh
3 1 12
direct
0.000 0.000 0.000
0.000 0.000 0.246
0.000 0.000 0.754
0.000 0.000 0.500
0.000 0.500 0.124
0.000 0.500 0.374
0.000 0.500 0.626
0.000 0.500 0.876
0.500 0.000 0.124
0.500 0.000 0.374
0.500 0.000 0.626
0.500 0.000 0.876
0.500 0.500 0.000
0.500 0.500 0.249
0.500 0.500 0.500
0.500 0.500 0.751
```



- Which value of DOS at the Fermi energy does entry 8 give?
  1.072 states/eV per atom